DFT (PBE) results for a relaxed KCr2Co crystal.

* E above lowest polymorph: 817 meV/atom
* total energy: -21.151 eV for the cell shown
* formation energy from the elements: 151.94 kJ per mole of atoms

a = 4.4301 Å, b = 4.4301 Å, c = 4.1203 Å
α = 90.00°, β = 90.00°, γ = 90.00°
Last column: nearest neighbours and their distance in Å.
Space group P4/mmm (No. 123)
Asymmetric unit:
K 0.0000 0.0000 0.0000 x1  8 Cr 3.03, 4 Co 3.13
Cr 0.0000 0.5000 0.5000 x2  4 Co 3.03, 4 K 3.03, 4 Cr 3.13
Co 0.5000 0.5000 0.0000 x1  8 Cr 3.03, 4 K 3.13